5
Lattice="2.662 0.000 0.000 0.000 2.758 -3.409 0.000 2.758 3.409" Properties=species:S:1:pos:R:3 comment="Mn3HOs (PBE, relaxed)" e_above_lowest_polymorph_ev_per_atom=0.155 dos_ef_per_ev_cell=4.03 pbc="T T T"
H 1.331 2.758 3.041
Mn 1.331 1.195 0.819
Mn 1.331 4.321 0.819
Mn 0.000 2.758 2.027
Os 0.000 2.758 -0.761

4
Lattice="-1.210 -2.302 3.245 -0.619 -4.086 -0.465 6.404 -3.387 2.648" Properties=species:S:1:pos:R:3 comment="HoHgSe2 (PBE, relaxed)" e_form_raw_mev_per_atom=-1043 e_above_lowest_polymorph_ev_per_atom=0.000 dos_ef_per_ev_cell=2.55 pbc="T T T"
Ho -1.198 -4.263 1.858
Hg 2.292 -4.889 2.715
Se 4.896 -3.117 2.278
Se 0.873 -2.395 1.291

5
Lattice="4.381 0.000 0.000 0.000 4.381 0.000 0.000 0.000 3.871" Properties=species:S:1:pos:R:3 comment="GePbNF2 (PBE, relaxed)" e_form_raw_mev_per_atom=-840 e_above_lowest_polymorph_ev_per_atom=0.000 dos_ef_per_ev_cell=0.97 pbc="T T T"
Pb 2.191 2.191 1.936
Ge 0.000 0.000 0.000
N 0.000 0.000 1.936
F 0.000 2.191 0.000
F 2.191 0.000 0.000

10
Lattice="7.712 0.000 0.000 0.000 7.712 0.000 0.000 0.000 3.907" Properties=species:S:1:pos:R:3 comment="YCd2As2 (PBE, relaxed)" dft_energy_ev_per_atom=-3.838 dos_ef_per_ev_cell=6.48 pbc="T T T"
Y 0.000 0.000 0.000
Y 3.856 3.856 0.000
As 2.601 6.456 0.000
As 6.456 5.111 0.000
As 5.111 1.255 0.000
As 1.255 2.601 0.000
Cd 1.093 4.949 1.954
Cd 4.949 6.619 1.954
Cd 6.619 2.763 1.954
Cd 2.763 1.093 1.954

6
Lattice="5.468 0.000 0.000 2.734 4.736 0.000 2.734 1.579 4.465" Properties=species:S:1:pos:R:3 comment="SrPrIr4 (PBE, relaxed)" dft_energy_ev_per_atom=-7.451 dos_ef_per_ev_cell=8.18 pbc="T T T"
Pr 2.734 1.579 1.116
Sr 0.000 0.000 0.000
Ir 5.468 3.157 0.559
Ir 5.468 1.579 2.790
Ir 6.835 3.946 2.790
Ir 4.102 3.946 2.790

5
Lattice="-2.049 -3.382 -3.150 3.574 1.026 -3.426 2.931 -3.615 1.975" Properties=species:S:1:pos:R:3 comment="BaInB3 (PBE, relaxed)" e_above_lowest_polymorph_ev_per_atom=1.093 dos_ef_per_ev_cell=3.82 pbc="T T T"
B 1.787 0.513 -1.713
B 1.466 -1.807 0.988
B -1.024 -1.691 -1.575
Ba 0.000 0.000 0.000
In 2.228 -2.986 -2.300

6
Lattice="3.798 0.000 0.000 -1.899 3.289 0.000 0.000 0.000 10.233" Properties=species:S:1:pos:R:3 comment="GaSnP (PBE, relaxed)" e_above_lowest_polymorph_ev_per_atom=0.043 dos_ef_per_ev_cell=1.21 pbc="T T T"
Ga 0.000 2.193 8.136
Ga 1.899 1.096 2.097
Sn 0.000 0.000 0.000
Sn 0.000 0.000 5.117
P 0.000 2.193 3.287
P 1.899 1.096 6.947

20
Lattice="8.508 -1.551 -1.610 1.062 8.756 -2.088 1.062 -2.411 8.672" Properties=species:S:1:pos:R:3 comment="Tb6NdY2Sc (PBE, relaxed)" dft_energy_ev_per_atom=-5.053 dos_ef_per_ev_cell=29.90 pbc="T T T"
Tb 1.434 -0.880 6.471
Tb 4.945 -0.931 6.418
Tb 9.199 5.673 -1.497
Tb 5.688 5.724 -1.444
Tb 3.065 -1.239 3.425
Tb 3.313 2.100 6.890
Tb 7.567 6.032 1.549
Tb 7.319 2.693 -1.916
Tb 2.072 5.109 2.408
Tb 4.307 3.351 0.584
Tb 8.561 -0.316 2.566
Tb 6.326 1.441 4.390
Nd 3.189 7.961 -2.099
Nd 7.443 -3.168 7.073
Y 5.310 4.581 3.543
Y 1.068 2.198 1.070
Y 5.322 0.212 1.431
Y 9.564 2.595 3.904
Sc 3.189 2.081 3.567
Sc 7.443 2.712 1.407

Which formula does entry 4 have? YCd2As2